# ZrTcPt2 (PBE, relaxed)
data_ZrTcPt2
_chemical_formula_sum 'Zr2 Tc2 Pt4'
_symmetry_space_group_name_H-M 'I 4/m m m'
_symmetry_Int_Tables_number 139
_symmetry_space_group_name_Hall '-I 4 2'
_cell_length_a 3.9821
_cell_length_b 3.9821
_cell_length_c 8.2860
_cell_angle_alpha 90.00
_cell_angle_beta 90.00
_cell_angle_gamma 90.00
loop_
_atom_site_label
_atom_site_type_symbol
_atom_site_fract_x
_atom_site_fract_y
_atom_site_fract_z
Zr1 Zr 0.0000 0.0000 0.0000
Tc1 Tc 0.0000 0.0000 0.5000
Pt1 Pt 0.0000 0.5000 0.2500
# E ... -8.363 eV/atom
# Relative energy among the computed polymorphs ... 52 meV/atom
# Total magnetic moment ... 0.0 μB per cell
# ρ ... 14.64 g/cm3
# V ... 16.42 Å³ per atom